(1)
Computed, not measured: Rb2BaTc after structural relaxation at the PBE level of DFT.

Results
Its space group is I4_1/amd (141). The density of states at the Fermi level comes out at 5.02 states/eV/f.u. As for the total energy: -2.03 eV/atom. The value obtained for the offset from the most stable computed form is 6.13 kcal/mol of atoms.

Geometry as extended XYZ:
```
8
Lattice="5.967 0.000 0.000 0.000 5.967 0.000 2.983 2.983 13.253" Properties=species:S:1:pos:R:3 pbc="T T T"
Ba 0.000 0.000 0.000
Rb 4.475 5.967 9.940
Ba 5.967 2.983 6.627
Tc 2.983 5.967 6.627
Rb 7.458 5.966 9.940
Rb 2.983 4.475 3.313
Tc 2.983 2.983 0.000
Rb 2.983 1.492 3.313
```


(2)
Computed, not measured: RbBa3Tc after structural relaxation at the PBE level of DFT.

Results
Its space group is Pm-3m (221). The density of states at the Fermi level comes out at 10.42 states/eV/f.u. As for the total energy: -1.80 eV/atom. The value obtained for the offset from the most stable computed form is 25.87 kcal/mol of atoms.

Geometry as extended XYZ:
```
5
Lattice="6.590 0.000 0.000 0.000 6.590 0.000 0.000 0.000 6.590" Properties=species:S:1:pos:R:3 pbc="T T T"
Ba 0.000 3.295 0.000
Rb 0.000 0.000 0.000
Tc 3.295 3.295 3.295
Ba 3.295 0.000 0.000
Ba 0.000 0.000 3.295
```


(3)
Computed, not measured: RbBa2Tc after structural relaxation at the PBE level of DFT.

Results
Its space group is Fm-3m (225). The density of states at the Fermi level comes out at 4.18 states/eV/f.u. As for the total energy: -2.86 eV/atom. The value obtained for the offset from the most stable computed form is 3.73 kcal/mol of atoms.

Geometry as extended XYZ:
```
4
Lattice="-3.316 -5.130 0.347 -2.182 -1.873 5.400 -6.002 0.308 1.147" Properties=species:S:1:pos:R:3 pbc="T T T"
Tc -5.750 -3.347 3.447
Rb 0.000 0.000 0.000
Ba -8.625 -5.021 5.170
Ba -2.875 -1.674 1.723
```


(4)
Computed, not measured: Rb3BaTc after structural relaxation at the PBE level of DFT.

Results
Its space group is Pm-3m (221). The density of states at the Fermi level comes out at 19.92 states/eV/f.u. As for the total energy: -1.37 eV/atom. The value obtained for the offset from the most stable computed form is 7.97 kcal/mol of atoms.

Geometry as extended XYZ:
```
5
Lattice="-5.073 -5.876 -1.641 6.082 -5.038 -0.765 -0.476 -1.747 7.725" Properties=species:S:1:pos:R:3 pbc="T T T"
Rb -2.537 -2.938 -0.821
Rb -0.238 -0.873 3.863
Ba 0.000 0.000 0.000
Rb 3.041 -2.519 -0.382
Tc 0.267 -6.331 2.660
```